The following is a GGA-PBE calculation of a relaxed structure of AcLaPmIn, from Alexandria.

a = 5.7507 Å, b = 5.7507 Å, c = 5.7507 Å
α = 60.00°, β = 60.00°, γ = 60.00°
Element x y z (fractional)
Ac 0.0000 0.0000 0.0000
La 0.7500 0.7500 0.7500
Pm 0.2500 0.2500 0.2500
In 0.5000 0.5000 0.5000

Summary:
The calculation puts the density of states at the Fermi level at 7.3 states/eV/f.u. The value obtained for the total moment is 0.0003 μB per atom. The volume comes out at 134.5 Å³ per cell. The total energy is -4.236 eV per atom. The crystal system is cubic.